Entry 1:
KAcCd4 (PBE, optimized geometry); calculated total energy = -1.6578 eV/atom; crystal system = orthorhombic; space group = No. 47; polymorph energy (0 for the lowest one) = 0 kJ/mol of formula units; density = 6.5 g/cm3; ΔH_f (0 K) = -0.18 eV/atom
1.0
3.781 0.000 0.000
0.000 5.254 0.000
0.000 0.000 9.146
K Ac Cd
1 1 4
Direct
0.000 0.000 0.000
0.000 0.500 0.500
0.500 0.000 0.336
0.500 0.000 0.664
0.500 0.500 0.165
0.500 0.500 0.835

Entry 2:
LaZrCu (PBE, optimized geometry); calculated total energy = -5.8254 eV/atom; crystal system = monoclinic; space group = No. 8; polymorph energy (0 for the lowest one) = 24 kJ/mol of formula units; density = 6.7 g/cm3; ΔH_f (0 K) = 0.03 eV/atom
1.0
5.973 -2.166 0.000
5.973 2.166 0.000
-0.297 0.000 5.629
La Zr Cu
2 2 2
Direct
0.000 0.000 0.000
0.577 0.577 0.520
0.284 0.284 0.845
0.848 0.848 0.458
0.231 0.231 0.316
0.702 0.702 0.051

Entry 3:
TlZnGa2Ir (PBE, optimized geometry); calculated total energy = -3.8591 eV/atom; crystal system = tetragonal; space group = No. 123; polymorph energy (0 for the lowest one) = 0 kJ/mol of formula units; density = 8.6 g/cm3; ΔH_f (0 K) = -0.15 eV/atom
1.0
4.823 0.000 0.000
0.000 4.823 0.000
0.000 0.000 4.976
Tl Zn Ga Ir
1 1 2 1
Direct
0.000 0.000 0.000
0.500 0.500 0.000
0.000 0.500 0.500
0.500 0.000 0.500
0.500 0.500 0.500

Entry 4:
CsTl2GaHg (PBE, optimized geometry); calculated total energy = -1.7690 eV/atom; crystal system = tetragonal; space group = No. 123; density = 7.2 g/cm3; ΔH_f (0 K) = 0.01 eV/atom
1.0
5.878 0.000 0.000
0.000 5.878 0.000
0.000 0.000 5.439
Cs Tl Ga Hg
1 2 1 1
Direct
0.000 0.000 0.000
0.000 0.500 0.500
0.500 0.000 0.500
0.500 0.500 0.500
0.500 0.500 0.000

Entry 5:
In3As2 (PBE, optimized geometry); calculated total energy = -3.5015 eV/atom; crystal system = trigonal; space group = No. 167; polymorph energy (0 for the lowest one) = 16 kJ/mol of formula units; density = 5.7 g/cm3; ΔH_f (0 K) = 0.00 eV/atom
1.0
3.681 2.125 6.113
-3.681 2.125 6.113
0.000 -4.251 6.113
In As
6 4
Direct
0.033 0.750 0.467
0.250 0.533 0.967
0.467 0.033 0.750
0.533 0.967 0.250
0.750 0.467 0.033
0.967 0.250 0.533
0.136 0.136 0.136
0.364 0.364 0.364
0.636 0.636 0.636
0.864 0.864 0.864

Entry 6:
P2PtAu (PBE, optimized geometry); calculated total energy = -4.6492 eV/atom; crystal system = tetragonal; space group = No. 119; polymorph energy (0 for the lowest one) = 224 kJ/mol of formula units; density = 11.8 g/cm3; ΔH_f (0 K) = 0.39 eV/atom
1.0
-1.919 1.919 4.343
1.919 -1.919 4.343
1.919 1.919 -4.343
P Pt Au
2 1 1
Direct
0.000 0.000 0.000
0.750 0.250 0.500
0.250 0.750 0.500
0.500 0.500 0.000

Which of these has the lowest density? In3As2

Look up the ΔH_f (0 K) of the sixth one. 0.39 eV/atom

Which of these has the highest ΔH_f (0 K)? P2PtAu

calculated total energy of number 3 (TlZnGa2Ir)? -3.8591 eV/atom